# ScHgF2 (PBE, optimized geometry)
# **M_tot**: 0.25 μB per atom
# **Uncorrected formation energy**: -1.6604 eV per atom
data_ScHgF2
_chemical_formula_sum 'Sc4 Hg4 F8'
_symmetry_space_group_name_H-M 'F m -3 m'
_symmetry_Int_Tables_number 225
_symmetry_space_group_name_Hall '-F 4 2 3'
_cell_length_a 6.3152
_cell_length_b 6.3152
_cell_length_c 6.3152
_cell_angle_alpha 90.00
_cell_angle_beta 90.00
_cell_angle_gamma 90.00
loop_
_atom_site_label
_atom_site_fract_x
_atom_site_fract_y
_atom_site_fract_z
_atom_site_occupancy
Sc1 0.0000 0.0000 0.0000 1
Hg1 0.0000 0.0000 0.5000 1
F1 0.2500 0.2500 0.2500 1